Entry A
Here is a geometry-optimized NdNpP2 structure from Alexandria. Energies are from GGA-PBE.

## Properties
For the mass density, the calculation gives 7.8 Mg/m³. As for the volume: 23.6 Å³/atom. Its total magnetization is 3.66 Bohr magnetons per cell.

a b c (Å): 4.0507 4.0507 7.0475
angles (deg): 73.30 73.30 60.00
Sites, in units of the cell vectors:
Np 0.0000 0.0000 0.0000
Nd 0.5000 0.5000 0.5000
P 0.2560 0.2560 0.2319
P 0.7440 0.7440 0.7681

Entry B
Here is a geometry-optimized NdNpP2 structure from Alexandria. Energies are from GGA-PBE.

## Properties
For the mass density, the calculation gives 7.6 Mg/m³. As for the volume: 24.1 Å³/atom. Its total magnetization is 3.88 Bohr magnetons per cell.

a b c (Å): 3.9436 3.9436 7.4971
angles (deg): 74.75 74.75 60.00
Sites, in units of the cell vectors:
P 0.0859 0.0859 0.7424
P 0.2466 0.2466 0.2602
Nd 0.6697 0.6697 0.9910
Np 0.4979 0.4979 0.5064

Result of the stability comparison: entry B is the least stable of them.

Entry A
Here is a geometry-optimized NdNpRh4 structure from Alexandria. Energies are from GGA-PBE.

## Properties
For the mass density, the calculation gives 11.4 Mg/m³. As for the volume: 19.2 Å³/atom. Its total magnetization is 2.86 Bohr magnetons per cell.

a b c (Å): 5.5764 5.8934 8.4376
angles (deg): 110.44 115.51 90.00
Sites, in units of the cell vectors:
Rh 0.7343 0.3004 0.6008
Rh 0.2657 0.6996 0.3992
Rh 0.0000 0.7640 0.0000
Rh 0.5308 0.8959 0.2497
Rh 0.5308 0.3538 0.2497
Rh 0.0000 0.2360 0.0000
Rh 0.4692 0.6462 0.7503
Rh 0.4692 0.1041 0.7503
Np 0.2257 0.4248 0.8496
Np 0.7743 0.5752 0.1504
Nd 0.1102 0.1902 0.3805
Nd 0.8898 0.8098 0.6195

Entry B
Here is a geometry-optimized NdNpRh4 structure from Alexandria. Energies are from GGA-PBE.

## Properties
For the mass density, the calculation gives 12.1 Mg/m³. As for the volume: 18.2 Å³/atom. Its total magnetization is 3.57 Bohr magnetons per cell.

a b c (Å): 5.3658 5.3658 5.3658
angles (deg): 60.00 60.00 60.00
Sites, in units of the cell vectors:
Rh 0.1239 0.6254 0.6254
Rh 0.6254 0.6254 0.1239
Rh 0.6254 0.6254 0.6254
Rh 0.6254 0.1239 0.6254
Nd 0.2500 0.2500 0.2500
Np 0.0000 0.0000 0.0000

Result of the stability comparison: entry A is the least stable of them.

Entry A
Here is a geometry-optimized NdNpS2 structure from Alexandria. Energies are from GGA-PBE.

## Properties
For the mass density, the calculation gives 8.1 Mg/m³. As for the volume: 22.9 Å³/atom. Its total magnetization is 4.50 Bohr magnetons per cell.

a b c (Å): 3.8516 3.8516 7.4719
angles (deg): 75.06 75.06 60.00
Sites, in units of the cell vectors:
S 0.2486 0.2486 0.2543
S 0.0853 0.0853 0.7441
Np 0.4957 0.4957 0.5129
Nd 0.6705 0.6705 0.9886

Entry B
Here is a geometry-optimized NdNpS2 structure from Alexandria. Energies are from GGA-PBE.

## Properties
For the mass density, the calculation gives 8.2 Mg/m³. As for the volume: 22.4 Å³/atom. Its total magnetization is 4.25 Bohr magnetons per cell.

a b c (Å): 3.9950 3.9950 6.8898
angles (deg): 73.15 73.15 60.00
Sites, in units of the cell vectors:
Nd 0.0000 0.0000 0.0000
Np 0.5000 0.5000 0.5000
S 0.7549 0.7549 0.7353
S 0.2451 0.2451 0.2647

Result of the stability comparison: entry A is the least stable of them.

Entry A
Here is a geometry-optimized NdNpSe2 structure from Alexandria. Energies are from GGA-PBE.

## Properties
For the mass density, the calculation gives 8.8 Mg/m³. As for the volume: 25.5 Å³/atom. Its total magnetization is 4.44 Bohr magnetons per cell.

a b c (Å): 4.1668 4.1668 7.2094
angles (deg): 73.20 73.20 60.00
Sites, in units of the cell vectors:
Se 0.2536 0.2536 0.2391
Se 0.7464 0.7464 0.7609
Nd 0.5000 0.5000 0.5000
Np 0.0000 0.0000 0.0000

Entry B
Here is a geometry-optimized NdNpSe2 structure from Alexandria. Energies are from GGA-PBE.

## Properties
For the mass density, the calculation gives 8.6 Mg/m³. As for the volume: 25.9 Å³/atom. Its total magnetization is 4.58 Bohr magnetons per cell.

a b c (Å): 3.9977 3.9977 7.8353
angles (deg): 75.22 75.22 60.00
Sites, in units of the cell vectors:
Nd 0.6698 0.6698 0.9906
Se 0.0846 0.0846 0.7462
Se 0.2492 0.2492 0.2523
Np 0.4964 0.4964 0.5108

Result of the stability comparison: entry B is the least stable of them.